[1]
A geometry-optimized Tb2Cu15Pd2 structure. Source: Alexandria via LeMat-Bulk, functional PBE.

Structure (POSCAR):
```
Tb2Cu15Pd2
1.0
-5.3330 3.0817 2.0912
-0.0759 -2.5758 5.9724
3.0703 4.8984 2.9815
Cu Tb Pd
15 2 2
Direct
0.0000 0.7025 0.2975
0.6502 0.1575 0.6502
0.3498 0.3498 0.8425
0.0000 0.2975 0.7025
0.0000 0.5000 0.0000
0.8425 0.3498 0.3498
0.2975 0.0000 0.7025
0.6502 0.6502 0.1575
0.5000 0.0000 0.0000
0.3498 0.8425 0.3498
0.7025 0.0000 0.2975
0.0000 0.0000 0.5000
0.7025 0.2975 0.0000
0.2975 0.7025 0.0000
0.1575 0.6502 0.6502
0.3373 0.3373 0.3373
0.6627 0.6627 0.6627
0.1059 0.1059 0.1059
0.8941 0.8941 0.8941
```

Properties
E: -4.453 eV/atom
Density of states at the Fermi level: 8.8 states/eV/cell
Energy relative to the elements: -0.19 eV/atom

[2]
A geometry-optimized Tb2CuPd6 structure. Source: Alexandria via LeMat-Bulk, functional PBE.

Structure (POSCAR):
```
Tb2CuPd6
1.0
-1.4499 -3.0658 -0.8856
4.8637 -0.5738 -5.9761
2.5590 -1.2977 7.2019
Cu Pd Tb
1 6 2
Direct
0.0000 0.0000 0.0000
0.5000 0.7628 0.0000
0.8354 0.6284 0.6688
0.1646 0.3716 0.3312
0.1646 0.9596 0.3312
0.8354 0.0404 0.6688
0.5000 0.2372 0.0000
0.3514 0.3497 0.6994
0.6486 0.6503 0.3006
```

Properties
E: -5.332 eV/atom
Density of states at the Fermi level: 3.2 states/eV/cell
Energy relative to the elements: -0.39 eV/atom

[3]
A geometry-optimized Tb4Cu3Pd structure. Source: Alexandria via LeMat-Bulk, functional PBE.

Structure (POSCAR):
```
Tb4Cu3Pd
1.0
3.7946 0.0000 0.0000
0.0000 4.4918 0.0000
0.0000 0.0000 10.3984
Cu Pd Tb
3 1 4
Direct
0.5000 0.0000 0.9226
0.0000 0.0000 0.4287
0.0000 0.5000 0.5712
0.5000 0.5000 0.0779
0.5000 0.0000 0.6399
0.0000 0.5000 0.8594
0.5000 0.5000 0.3612
0.0000 0.0000 0.1392
```

Properties
E: -4.919 eV/atom
Density of states at the Fermi level: 4.8 states/eV/cell
Energy relative to the elements: -0.42 eV/atom